--- i ---
Entry from Alexandria via LeMat-Bulk: a relaxed structure of Ta2PIr2 (GGA-PBE).

Cell lengths 3.552, 3.552, 13.973 Å; angles 90.00, 90.00, 90.00 degrees
Space group I4/mmm (No. 139)
Asymmetric unit:
Ta 0.000 0.000 0.104 [4 per cell]
P 0.000 0.000 0.500 [2 per cell]
Ir 0.000 0.500 0.250 [4 per cell]

Results
As for the crystal system: tetragonal.

***

--- ii ---
Entry from Alexandria via LeMat-Bulk: a relaxed structure of Ta2PIr2 (GGA-PBE).

Cell lengths 7.582, 7.582, 2.989 Å; angles 90.00, 90.00, 90.00 degrees
Space group P4/mbm (No. 127)
Asymmetric unit:
Ta 0.165 0.335 0.000 [4 per cell]
P 0.000 0.000 0.000 [2 per cell]
Ir 0.130 0.630 0.500 [4 per cell]

Results
As for the crystal system: tetragonal.

***

--- iii ---
Entry from Alexandria via LeMat-Bulk: a relaxed structure of Ta2PIr2 (GGA-PBE).

Cell lengths 7.712, 7.712, 2.889 Å; angles 90.00, 90.00, 90.00 degrees
Space group P4/mbm (No. 127)
Asymmetric unit:
Ta 0.159 0.341 0.000 [4 per cell]
P 0.000 0.000 0.500 [2 per cell]
Ir 0.135 0.635 0.500 [4 per cell]

Results
As for the crystal system: tetragonal.

***

iii is the most stable structure; the next one sits 33 meV/atom above it.